(1)
HfZnPd: optimized geometry, PBE.

Structure (extended XYZ):
```
6
Lattice="3.3631 0.0000 0.0000 0.0000 3.3631 0.0000 0.0000 0.0000 8.9456" Properties=species:S:1:pos:R:3 pbc="T T T"
Hf 0.0000 0.0000 0.0000
Hf 1.6815 1.6815 4.4728
Zn 0.0000 0.0000 2.8871
Zn 0.0000 0.0000 6.0585
Pd 1.6815 1.6815 1.5399
Pd 1.6815 1.6815 7.4057
```

Computed properties:
Space-group type   No. 123
Formation enthalpy at 0 K   -537 meV per atom

---

(2)
NdGaOs: optimized geometry, PBE.

Structure (extended XYZ):
```
3
Lattice="5.0476 0.0000 0.0000 -2.5238 4.3714 0.0000 0.0000 0.0000 2.9282" Properties=species:S:1:pos:R:3 pbc="T T T"
Nd 0.0000 0.0000 0.0000
Ga 2.5238 1.4571 0.0000
Os 0.0000 2.9142 0.0000
```

Computed properties:
Electronic total energy   -5.752 eV per atom
Space-group type   No. 187

---

(3)
SrAsPdAu: optimized geometry, PBE.

Structure (extended XYZ):
```
16
Lattice="6.9781 0.0000 0.0000 0.0000 6.9781 0.0000 0.0000 0.0000 6.9781" Properties=species:S:1:pos:R:3 pbc="T T T"
Sr 0.0000 0.0000 0.0000
Sr 0.0000 3.4890 3.4890
Sr 3.4890 0.0000 3.4890
Sr 3.4890 3.4890 0.0000
As 1.7445 1.7445 5.2335
As 1.7445 5.2335 1.7445
As 5.2335 1.7445 1.7445
As 5.2335 5.2335 5.2335
Pd 0.0000 0.0000 3.4890
Pd 0.0000 3.4890 0.0000
Pd 3.4890 0.0000 0.0000
Pd 3.4890 3.4890 3.4890
Au 1.7445 1.7445 1.7445
Au 1.7445 5.2335 5.2335
Au 5.2335 1.7445 5.2335
Au 5.2335 5.2335 1.7445
```

Computed properties:
Space-group type   No. 216
ΔE to the lowest computed polymorph   0.000 eV per atom

---

(4)
PuFeIr: optimized geometry, PBE.

Structure (extended XYZ):
```
12
Lattice="5.8924 0.0000 0.0000 0.0000 5.8924 0.0000 0.0000 0.0000 5.8924" Properties=species:S:1:pos:R:3 pbc="T T T"
Pu 0.0000 0.0000 0.0000
Pu 0.0000 2.9462 2.9462
Pu 2.9462 0.0000 2.9462
Pu 2.9462 2.9462 0.0000
Fe 1.4731 1.4731 1.4731
Fe 1.4731 4.4193 4.4193
Fe 4.4193 1.4731 4.4193
Fe 4.4193 4.4193 1.4731
Ir 0.0000 0.0000 2.9462
Ir 0.0000 2.9462 0.0000
Ir 2.9462 0.0000 0.0000
Ir 2.9462 2.9462 2.9462
```

Computed properties:
Space-group type   No. 216
Formation enthalpy at 0 K   450 meV per atom

---

(5)
MgCdTeO: optimized geometry, PBE.

Structure (extended XYZ):
```
8
Lattice="4.4037 0.0000 0.0000 0.0000 4.4037 0.0000 0.0000 0.0000 9.6133" Properties=species:S:1:pos:R:3 pbc="T T T"
Mg 1.1009 1.1009 2.0204
Mg 3.3028 3.3028 7.5930
Cd 1.1009 1.1009 5.9591
Cd 3.3028 3.3028 3.6542
Te 1.1009 3.3028 0.0000
Te 3.3028 1.1009 0.0000
O 1.1009 1.1009 3.8437
O 3.3028 3.3028 5.7697
```

Computed properties:
Space-group type   No. 129
ΔE to the lowest computed polymorph   0.840 eV per atom

---

(6)
LuHgPO: optimized geometry, PBE.

Structure (extended XYZ):
```
8
Lattice="5.6455 0.0000 0.0000 0.0000 5.6455 0.0000 0.0000 0.0000 4.6644" Properties=species:S:1:pos:R:3 pbc="T T T"
Lu 1.4114 4.2342 0.0000
Lu 4.2342 1.4114 0.0000
Hg 1.4114 1.4114 2.2987
Hg 4.2342 4.2342 2.3657
P 1.4114 1.4114 4.6307
P 4.2342 4.2342 0.0337
O 1.4114 4.2342 2.3322
O 4.2342 1.4114 2.3322
```

Computed properties:
Space-group type   No. 129
ΔE to the lowest computed polymorph   0.368 eV per atom

---

(7)
Hf2ScMo2: optimized geometry, PBE.

Structure (extended XYZ):
```
10
Lattice="4.2011 0.0000 0.0000 0.0000 4.2011 0.0000 0.0000 0.0000 12.0384" Properties=species:S:1:pos:R:3 pbc="T T T"
Hf 0.0000 2.1005 3.0096
Hf 0.0000 2.1005 9.0288
Hf 2.1005 0.0000 3.0096
Hf 2.1005 0.0000 9.0288
Sc 0.0000 0.0000 0.0000
Sc 2.1005 2.1005 6.0192
Mo 0.0000 0.0000 4.8469
Mo 0.0000 0.0000 7.1915
Mo 2.1005 2.1005 1.1723
Mo 2.1005 2.1005 10.8661
```

Computed properties:
Space-group type   No. 139
Formation enthalpy at 0 K   425 meV per atom

---

(8)
Sr2DyAl7Ag2: optimized geometry, PBE.

Structure (extended XYZ):
```
12
Lattice="2.8414 1.6405 9.0593 -2.8414 1.6405 9.0593 0.0000 -3.2810 9.0593" Properties=species:S:1:pos:R:3 pbc="T T T"
Sr 0.0000 0.0000 3.8721
Sr 0.0000 0.0000 23.3059
Dy 0.0000 0.0000 0.0000
Al -1.4441 -0.8338 11.2291
Al 0.0000 -1.6676 15.9489
Al -1.4441 0.8338 15.9489
Al 0.0000 0.0000 13.5890
Al 1.4441 -0.8338 11.2291
Al 0.0000 1.6675 11.2291
Al 1.4441 0.8338 15.9489
Ag 0.0000 0.0000 9.1250
Ag 0.0000 0.0000 18.0530
```

Computed properties:
Electronic total energy   -3.601 eV per atom
Space-group type   No. 166

---

(9)
SiNi5N: optimized geometry, PBE.

Structure (extended XYZ):
```
7
Lattice="3.4330 0.0000 0.0000 0.0000 3.4330 0.0000 0.0000 0.0000 6.0186" Properties=species:S:1:pos:R:3 pbc="T T T"
Si 0.0000 0.0000 0.0000
Ni 0.0000 1.7165 1.7948
Ni 0.0000 1.7165 4.2238
Ni 1.7165 0.0000 1.7948
Ni 1.7165 0.0000 4.2238
Ni 1.7165 1.7165 0.0000
N 1.7165 1.7165 3.0093
```

Computed properties:
Electronic total energy   -6.006 eV per atom
Space-group type   No. 123

---

(10)
TlCdBiS3: optimized geometry, PBE.

Structure (extended XYZ):
```
12
Lattice="2.0960 -7.0990 0.0000 2.0960 7.0990 0.0000 0.0000 0.0000 10.9988" Properties=species:S:1:pos:R:3 pbc="T T T"
Tl 2.0960 3.6951 8.2491
Tl 2.0960 -3.6951 2.7497
Cd 2.0960 6.4587 2.7497
Cd 2.0960 -6.4587 8.2491
Bi 2.0960 0.0000 0.0000
Bi 2.0960 0.0000 5.4994
S 2.0960 5.2297 0.5609
S 2.0960 5.2297 4.9385
S 2.0960 0.9448 2.7497
S 2.0960 -0.9448 8.2491
S 2.0960 -5.2297 6.0603
S 2.0960 -5.2297 10.4379
```

Computed properties:
Electronic total energy   -3.683 eV per atom
Space-group type   No. 63

---

(11)
Y2CuSiI2: optimized geometry, PBE.

Structure (extended XYZ):
```
6
Lattice="4.0950 0.0000 0.0000 -2.0475 3.5464 0.0000 0.0000 0.0000 12.0574" Properties=species:S:1:pos:R:3 pbc="T T T"
Y 0.0000 0.0000 0.0000
Y 0.0000 0.0000 3.7977
Cu 0.0000 2.3643 2.0172
Si 2.0475 1.1821 1.8035
I 0.0000 2.3643 10.0105
I 2.0475 1.1821 5.8511
```

Computed properties:
Electronic total energy   -5.232 eV per atom
Space-group type   No. 156

---

(12)
GdTaN2O: optimized geometry, PBE.

Structure (extended XYZ):
```
40
Lattice="7.9180 0.0000 0.0000 0.0000 7.9495 0.0000 -7.7026 0.0000 7.9456" Properties=species:S:1:pos:R:3 pbc="T T T"
Gd 0.2067 1.9366 0.2077
Gd -3.6446 2.0382 4.1805
Gd -0.1125 5.9208 3.7642
Gd -3.9638 6.0035 7.7370
Gd 4.1792 1.9460 0.2086
Gd 0.3279 2.0287 4.1814
Gd 3.8600 5.9113 3.7651
Gd 0.0087 6.0129 7.7379
Ta -1.8858 0.0481 2.0805
Ta -5.7371 3.9267 6.0533
Ta 2.0660 4.0029 1.8646
Ta -1.7853 7.9214 5.8374
Ta 2.0007 0.0281 2.1082
Ta -1.8506 3.9467 6.0810
Ta 5.9525 4.0228 1.8923
Ta 2.1012 7.9014 5.8651
N -1.4625 5.9649 1.7360
N -5.3138 5.9594 5.7088
N 1.4832 4.3475 0.0000
N -2.3682 7.5767 3.9728
N 0.0659 0.3571 2.4125
N -3.7854 3.6177 6.3853
N 2.2536 1.9840 1.5059
N -1.5977 1.9907 5.4787
N 1.8131 5.9588 2.4669
N -2.0382 5.9655 6.4397
N 4.0008 4.3318 1.5603
N 0.1494 7.5924 5.5331
N 2.5835 0.3728 3.9728
N 6.4349 3.6020 0.0000
N 5.5292 1.9901 2.2368
N 1.6779 1.9846 6.2096
O -2.2816 4.3712 3.9681
O -6.1329 7.5530 7.9409
O -3.7939 0.3714 6.4736
O 0.0574 3.6034 2.5008
O 0.1580 4.3461 5.4448
O 4.0093 7.5781 1.4720
O 6.3483 0.3965 0.0047
O 2.4970 3.5783 3.9775
```

Computed properties:
Electronic total energy   -9.580 eV per atom
Space-group type   No. 14

---

What did the ninth record say?
SiNi5N: optimized geometry, PBE.

Structure (extended XYZ):
```
7
Lattice="3.4330 0.0000 0.0000 0.0000 3.4330 0.0000 0.0000 0.0000 6.0186" Properties=species:S:1:pos:R:3 pbc="T T T"
Si 0.0000 0.0000 0.0000
Ni 0.0000 1.7165 1.7948
Ni 0.0000 1.7165 4.2238
Ni 1.7165 0.0000 1.7948
Ni 1.7165 0.0000 4.2238
Ni 1.7165 1.7165 0.0000
N 1.7165 1.7165 3.0093
```

Computed properties:
Electronic total energy   -6.006 eV per atom
Space-group type   No. 123